(w)
# TbMg6 (PBE, optimized geometry)
data_TbMg6
_chemical_formula_sum 'Tb2 Mg12'
_cell_length_a 7.6898
_cell_length_b 7.6898
_cell_length_c 7.6898
_cell_angle_alpha 90.00
_cell_angle_beta 90.00
_cell_angle_gamma 90.00
_space_group_name_H-M_alt 'P 1'
_space_group_IT_number 1
loop_
_space_group_symop_operation_xyz
'x,y,z'
loop_
_atom_site_label
_atom_site_type_symbol
_atom_site_fract_x
_atom_site_fract_y
_atom_site_fract_z
Tb1 Tb 0.0000 0.0000 0.0000
Tb2 Tb 0.5000 0.5000 0.5000
Mg1 Mg 0.0000 0.2500 0.5000
Mg2 Mg 0.0000 0.5000 0.2500
Mg3 Mg 0.0000 0.5000 0.7500
Mg4 Mg 0.0000 0.7500 0.5000
Mg5 Mg 0.2500 0.0000 0.5000
Mg6 Mg 0.2500 0.5000 0.0000
Mg7 Mg 0.5000 0.0000 0.2500
Mg8 Mg 0.5000 0.0000 0.7500
Mg9 Mg 0.5000 0.2500 0.0000
Mg10 Mg 0.5000 0.7500 0.0000
Mg11 Mg 0.7500 0.0000 0.5000
Mg12 Mg 0.7500 0.5000 0.0000
# - SG: Im-3m


(x)
# TbMg6 (PBE, optimized geometry)
data_TbMg6
_chemical_formula_sum 'Tb4 Mg24'
_cell_length_a 9.4919
_cell_length_b 5.9479
_cell_length_c 12.1587
_cell_angle_alpha 90.00
_cell_angle_beta 90.00
_cell_angle_gamma 90.00
_space_group_name_H-M_alt 'P 1'
_space_group_IT_number 1
loop_
_space_group_symop_operation_xyz
'x,y,z'
loop_
_atom_site_label
_atom_site_type_symbol
_atom_site_fract_x
_atom_site_fract_y
_atom_site_fract_z
Tb1 Tb 0.2465 0.2500 0.0651
Tb2 Tb 0.2535 0.7500 0.5651
Tb3 Tb 0.7465 0.2500 0.4349
Tb4 Tb 0.7535 0.7500 0.9349
Mg1 Mg 0.0547 0.7500 0.0840
Mg2 Mg 0.0631 0.0107 0.3073
Mg3 Mg 0.0631 0.4893 0.3073
Mg4 Mg 0.0947 0.2500 0.5184
Mg5 Mg 0.1425 0.7500 0.8503
Mg6 Mg 0.1925 0.2500 0.7518
Mg7 Mg 0.3075 0.7500 0.2518
Mg8 Mg 0.3575 0.2500 0.3503
Mg9 Mg 0.4053 0.7500 0.0184
Mg10 Mg 0.4369 0.5107 0.8073
Mg11 Mg 0.4369 0.9893 0.8073
Mg12 Mg 0.4453 0.2500 0.5840
Mg13 Mg 0.5547 0.7500 0.4160
Mg14 Mg 0.5631 0.0107 0.1927
Mg15 Mg 0.5631 0.4893 0.1927
Mg16 Mg 0.5947 0.2500 0.9816
Mg17 Mg 0.6425 0.7500 0.6497
Mg18 Mg 0.6925 0.2500 0.7482
Mg19 Mg 0.8075 0.7500 0.2482
Mg20 Mg 0.8575 0.2500 0.1497
Mg21 Mg 0.9053 0.7500 0.4816
Mg22 Mg 0.9369 0.5107 0.6927
Mg23 Mg 0.9369 0.9893 0.6927
Mg24 Mg 0.9453 0.2500 0.9160
# - SG: Pnma


The calculated energies rank the structures as follows, beginning with the most stable: (x), (w).


(w)
# Tb6Mg2Tc (PBE, optimized geometry)
data_Tb6Mg2Tc
_chemical_formula_sum 'Tb6 Mg2 Tc1'
_cell_length_a 3.6886
_cell_length_b 8.8971
_cell_length_c 8.8971
_cell_angle_alpha 118.97
_cell_angle_beta 90.00
_cell_angle_gamma 90.00
_space_group_name_H-M_alt 'P 1'
_space_group_IT_number 1
loop_
_space_group_symop_operation_xyz
'x,y,z'
loop_
_atom_site_label
_atom_site_type_symbol
_atom_site_fract_x
_atom_site_fract_y
_atom_site_fract_z
Tb1 Tb 0.0000 0.0000 0.0000
Tb2 Tb 0.0000 0.5062 0.7416
Tb3 Tb 0.0000 0.7416 0.5062
Tb4 Tb 0.5000 0.1240 0.7470
Tb5 Tb 0.5000 0.3592 0.3592
Tb6 Tb 0.5000 0.7470 0.1240
Mg1 Mg 0.0000 0.0782 0.4148
Mg2 Mg 0.0000 0.4148 0.0782
Tc1 Tc 0.5000 0.7643 0.7643
# - SG: Amm2


(x)
# Tb6Mg2Tc (PBE, optimized geometry)
data_Tb6Mg2Tc
_chemical_formula_sum 'Tb6 Mg2 Tc1'
_cell_length_a 7.4698
_cell_length_b 7.4698
_cell_length_c 7.4698
_cell_angle_alpha 136.15
_cell_angle_beta 108.50
_cell_angle_gamma 87.79
_space_group_name_H-M_alt 'P 1'
_space_group_IT_number 1
loop_
_space_group_symop_operation_xyz
'x,y,z'
loop_
_atom_site_label
_atom_site_type_symbol
_atom_site_fract_x
_atom_site_fract_y
_atom_site_fract_z
Tb1 Tb 0.1231 0.3437 0.7794
Tb2 Tb 0.1745 0.0000 0.1745
Tb3 Tb 0.4357 0.6563 0.7794
Tb4 Tb 0.5643 0.3437 0.2206
Tb5 Tb 0.8255 0.0000 0.8255
Tb6 Tb 0.8769 0.6563 0.2206
Mg1 Mg 0.3524 0.8524 0.5000
Mg2 Mg 0.6476 0.1476 0.5000
Tc1 Tc 0.0000 0.5000 0.5000
# - SG: Immm


The calculated energies rank the structures as follows, beginning with the most stable: (w), (x).


(w)
# Tb2MgTe (PBE, optimized geometry)
data_Tb2MgTe
_chemical_formula_sum 'Tb2 Mg1 Te1'
_cell_length_a 3.9334
_cell_length_b 3.9334
_cell_length_c 6.9562
_cell_angle_alpha 90.00
_cell_angle_beta 90.00
_cell_angle_gamma 90.00
_space_group_name_H-M_alt 'P 1'
_space_group_IT_number 1
loop_
_space_group_symop_operation_xyz
'x,y,z'
loop_
_atom_site_label
_atom_site_type_symbol
_atom_site_fract_x
_atom_site_fract_y
_atom_site_fract_z
Tb1 Tb 0.0000 0.0000 0.2486
Tb2 Tb 0.0000 0.0000 0.7514
Mg1 Mg 0.5000 0.5000 0.5000
Te1 Te 0.5000 0.5000 0.0000
# - SG: P4/mmm


(x)
# Tb2MgTe (PBE, optimized geometry)
data_Tb2MgTe
_chemical_formula_sum 'Tb6 Mg3 Te3'
_cell_length_a 3.9052
_cell_length_b 3.9052
_cell_length_c 31.7660
_cell_angle_alpha 90.00
_cell_angle_beta 90.00
_cell_angle_gamma 120.00
_space_group_name_H-M_alt 'P 1'
_space_group_IT_number 1
loop_
_space_group_symop_operation_xyz
'x,y,z'
loop_
_atom_site_label
_atom_site_type_symbol
_atom_site_fract_x
_atom_site_fract_y
_atom_site_fract_z
Tb1 Tb 0.0000 0.0000 0.1035
Tb2 Tb 0.0000 0.0000 0.8965
Tb3 Tb 0.3333 0.6667 0.5632
Tb4 Tb 0.3333 0.6667 0.7702
Tb5 Tb 0.6667 0.3333 0.2298
Tb6 Tb 0.6667 0.3333 0.4368
Mg1 Mg 0.0000 0.0000 0.0000
Mg2 Mg 0.3333 0.6667 0.6667
Mg3 Mg 0.6667 0.3333 0.3333
Te1 Te 0.0000 0.0000 0.5000
Te2 Te 0.3333 0.6667 0.1667
Te3 Te 0.6667 0.3333 0.8333
# - SG: R-3m


The calculated energies rank the structures as follows, beginning with the most stable: (w), (x).